1.
{
  "formula": "Dy3CuSiS7",
  "functional": "GGA-PBE",
  "state": "optimized geometry",
  "formation_energy_uncorrected_ev_per_fu": -18.32,
  "sg": "P6_3",
  "lattice_angstrom": [[9.894, 0.000, 0.000], [-4.947, 8.569, 0.000], [0.000, 0.000, 5.705]],
  "species": ["Dy", "Dy", "Dy", "Dy", "Dy", "Dy", "Cu", "Cu", "Si", "Si", "S", "S", "S", "S", "S", "S", "S", "S", "S", "S", "S", "S", "S", "S"],
  "frac_coords": [[0.129, 0.357, 0.000], [0.228, 0.871, 0.000], [0.357, 0.228, 0.500], [0.643, 0.772, 0.000], [0.772, 0.129, 0.500], [0.871, 0.643, 0.500], [0.000, 0.000, 0.455], [0.000, 0.000, 0.955], [0.333, 0.667, 0.589], [0.667, 0.333, 0.089], [0.094, 0.258, 0.473], [0.106, 0.584, 0.739], [0.164, 0.906, 0.473], [0.258, 0.164, 0.973], [0.333, 0.667, 0.218], [0.416, 0.523, 0.739], [0.477, 0.894, 0.739], [0.523, 0.106, 0.239], [0.584, 0.477, 0.239], [0.667, 0.333, 0.718], [0.742, 0.836, 0.473], [0.836, 0.094, 0.973], [0.894, 0.416, 0.239], [0.906, 0.742, 0.973]]
}

***

2.
{
  "formula": "Dy3CuSnS7",
  "functional": "GGA-PBE",
  "state": "optimized geometry",
  "formation_energy_uncorrected_ev_per_fu": -17.02,
  "sg": "P6_3",
  "lattice_angstrom": [[9.755, 0.000, 0.000], [-4.877, 8.448, 0.000], [0.000, 0.000, 6.259]],
  "species": ["Dy", "Dy", "Dy", "Dy", "Dy", "Dy", "Cu", "Cu", "Sn", "Sn", "S", "S", "S", "S", "S", "S", "S", "S", "S", "S", "S", "S", "S", "S"],
  "frac_coords": [[0.151, 0.791, 0.000], [0.209, 0.360, 0.000], [0.360, 0.151, 0.500], [0.640, 0.849, 0.000], [0.791, 0.640, 0.500], [0.849, 0.209, 0.500], [0.000, 0.000, 0.387], [0.000, 0.000, 0.887], [0.333, 0.667, 0.565], [0.667, 0.333, 0.065], [0.082, 0.520, 0.748], [0.116, 0.853, 0.419], [0.147, 0.262, 0.419], [0.262, 0.116, 0.919], [0.333, 0.667, 0.181], [0.438, 0.918, 0.748], [0.480, 0.562, 0.748], [0.520, 0.438, 0.248], [0.562, 0.082, 0.248], [0.667, 0.333, 0.681], [0.738, 0.884, 0.419], [0.853, 0.738, 0.919], [0.884, 0.147, 0.919], [0.918, 0.480, 0.248]]
}

***

3.
{
  "formula": "Sr3Dy3CuS8",
  "functional": "GGA-PBE",
  "state": "optimized geometry",
  "formation_energy_uncorrected_ev_per_fu": -26.86,
  "sg": "C2/m",
  "lattice_angstrom": [[6.916, -3.996, 0.000], [6.916, 3.996, 0.000], [-4.612, 0.000, 6.787]],
  "species": ["Sr", "Sr", "Sr", "Dy", "Dy", "Dy", "Cu", "S", "S", "S", "S", "S", "S", "S", "S"],
  "frac_coords": [[0.000, 0.000, 0.000], [0.000, 0.500, 0.000], [0.500, 0.000, 0.000], [0.000, 0.500, 0.500], [0.500, 0.000, 0.500], [0.500, 0.500, 0.500], [0.000, 0.000, 0.500], [0.238, 0.238, 0.718], [0.239, 0.741, 0.719], [0.257, 0.257, 0.271], [0.259, 0.761, 0.281], [0.741, 0.239, 0.719], [0.743, 0.743, 0.729], [0.761, 0.259, 0.281], [0.762, 0.762, 0.282]]
}

***

4.
{
  "formula": "SrDy2CuS4",
  "functional": "GGA-PBE",
  "state": "optimized geometry",
  "formation_energy_uncorrected_ev_per_fu": -14.00,
  "sg": "Cmcm",
  "lattice_angstrom": [[1.959, -6.574, 0.000], [1.959, 6.574, 0.000], [0.000, 0.000, 13.582]],
  "species": ["Sr", "Sr", "Dy", "Dy", "Dy", "Dy", "Cu", "Cu", "S", "S", "S", "S", "S", "S", "S", "S"],
  "frac_coords": [[0.117, 0.883, 0.750], [0.883, 0.117, 0.250], [0.371, 0.629, 0.559], [0.371, 0.629, 0.941], [0.629, 0.371, 0.059], [0.629, 0.371, 0.441], [0.153, 0.847, 0.250], [0.847, 0.153, 0.750], [0.000, 0.000, 0.000], [0.000, 0.000, 0.500], [0.271, 0.729, 0.119], [0.271, 0.729, 0.381], [0.443, 0.557, 0.750], [0.557, 0.443, 0.250], [0.729, 0.271, 0.619], [0.729, 0.271, 0.881]]
}

***

| no. | E (eV/cell) |
| --- | --- |
| 1 | -141.07 |
| 2 | -135.64 |
| 3 | -82.83 |
| 4 | -90.99 |